The following is a PBE calculation of a geometry-optimized Tl3Ag3RhCl8 structure, from Alexandria.

The structure in POSCAR format:
```
Tl3Ag3RhCl8
1.0
-3.8735 -3.8523 5.8848
6.6212 -3.5593 -3.4498
1.1508 6.8431 5.2371
Tl Ag Rh Cl
3 3 1 8
Direct
0.0000 0.0000 0.0000
0.0000 0.5000 0.0000
0.5000 0.5000 0.0000
0.5000 0.0000 0.5000
0.5000 0.5000 0.5000
0.0000 0.5000 0.5000
0.0000 0.0000 0.5000
0.2647 0.5294 0.2953
0.7353 0.4706 0.7047
0.7656 0.5312 0.3005
0.2344 0.4688 0.6995
0.7929 0.0178 0.3188
0.2071 0.9822 0.6812
0.2249 0.0178 0.3188
0.7751 0.9822 0.6812
```

Summary:
Total DFT energy (no corrections)   -3.14 eV per atom
Calculated density   5.23 g cm⁻³
SG   C2/m (12)


The following is a PBE calculation of a geometry-optimized Y2Pd2Se structure, from Alexandria.

The structure in POSCAR format:
```
Y2Pd2Se
1.0
7.7762 0.0000 0.0000
0.0000 7.7762 0.0000
0.0000 0.0000 3.8132
Y Se Pd
4 2 4
Direct
0.3259 0.8259 0.0000
0.8259 0.6741 0.0000
0.6741 0.1741 0.0000
0.1741 0.3259 0.0000
0.0000 0.0000 0.0000
0.5000 0.5000 0.0000
0.1230 0.6230 0.5000
0.6230 0.8770 0.5000
0.8770 0.3770 0.5000
0.3770 0.1230 0.5000
```

Summary:
Calculated density   6.76 g cm⁻³
N(E_F)   0.37 states/eV/cell
SG   P4/mbm (127)
E above lowest polymorph   0.119 eV per atom


The following is a PBE calculation of a geometry-optimized Mg5Cd2HgPd2 structure, from Alexandria.

The structure in POSCAR format:
```
Mg5Cd2HgPd2
1.0
-3.5488 1.1514 1.5264
-1.6129 -9.3532 3.3053
4.4856 2.2992 8.6949
Mg Cd Hg Pd
10 4 2 4
Direct
0.5000 0.2054 0.0796
0.5000 0.7946 0.9204
0.5000 0.0796 0.7946
0.5000 0.7054 0.4204
0.5000 0.9204 0.2054
0.5000 0.2946 0.5796
0.5000 0.5796 0.7054
0.5000 0.4204 0.2946
0.5000 0.5000 0.0000
0.5000 0.0000 0.5000
0.0000 0.6716 0.1716
0.0000 0.3284 0.8284
0.0000 0.1716 0.3284
0.0000 0.8284 0.6716
0.0000 0.0000 0.0000
0.0000 0.5000 0.5000
0.0000 0.1212 0.6212
0.0000 0.8788 0.3788
0.0000 0.6212 0.8788
0.0000 0.3788 0.1212
```

Summary:
Calculated density   6.20 g cm⁻³
N(E_F)   8.03 states/eV/cell
SG   P4/mbm (127)
Formation enthalpy at 0 K   -0.327 eV per atom


The following is a PBE calculation of a geometry-optimized CdFe2SbTe structure, from Alexandria.

The structure in POSCAR format:
```
CdFe2SbTe
1.0
4.9719 0.0000 0.0000
0.0000 5.4343 0.0000
0.0000 0.0000 4.9719
Sb Te Fe Cd
1 1 2 1
Direct
0.0000 0.5000 0.0000
0.5000 0.5000 0.5000
0.0000 0.0000 0.5000
0.5000 0.0000 0.0000
0.0000 0.0000 0.0000
```

Summary:
Total DFT energy (no corrections)   -3.76 eV per atom
Calculated density   5.85 g cm⁻³
N(E_F)   9.55 states/eV/cell
SG   P4/mmm (123)


The following is a PBE calculation of a geometry-optimized PmPrGdEr structure, from Alexandria.

The structure in POSCAR format:
```
PmPrGdEr
1.0
-5.2809 -1.6215 1.6174
-2.9180 -3.8434 -3.1379
-0.8814 -5.3089 2.0426
Pr Gd Er Pm
1 1 1 1
Direct
0.2500 0.2500 0.2500
0.7500 0.7500 0.7500
0.0000 0.0000 0.0000
0.5000 0.5000 0.5000
```

Summary:
Calculated density   7.52 g cm⁻³
N(E_F)   8.16 states/eV/cell
SG   F-43m (216)
E above lowest polymorph   0.013 eV per atom
Formation enthalpy at 0 K   0.121 eV per atom


The following is a PBE calculation of a geometry-optimized Er3SiNi9P2 structure, from Alexandria.

The structure in POSCAR format:
```
Er3SiNi9P2
1.0
5.8121 0.0000 0.0000
-2.9061 5.0334 0.0000
0.0000 0.0000 7.9319
Er Si Ni P
3 1 9 2
Direct
0.3333 0.6667 0.6450
0.0000 0.0000 0.0000
0.6667 0.3333 0.3550
0.0000 0.0000 0.5000
0.8546 0.1454 0.7130
0.8546 0.7092 0.7130
0.2908 0.1454 0.7130
0.7092 0.8546 0.2870
0.1454 0.2908 0.2870
0.1454 0.8546 0.2870
0.5000 0.0000 0.0000
0.0000 0.5000 0.0000
0.5000 0.5000 0.0000
0.3333 0.6667 0.1753
0.6667 0.3333 0.8247
```

Summary:
Total DFT energy (no corrections)   -5.95 eV per atom
Calculated density   8.02 g cm⁻³
N(E_F)   8.54 states/eV/cell
SG   P-3m1 (164)


The following is a PBE calculation of a geometry-optimized NaGe2S4 structure, from Alexandria.

The structure in POSCAR format:
```
NaGe2S4
1.0
5.3422 0.0000 0.0000
0.0000 5.3422 0.0000
0.0000 0.0000 6.7013
Na Ge S
1 2 4
Direct
0.0000 0.0000 0.0000
0.5000 0.0000 0.5000
0.0000 0.5000 0.5000
0.7411 0.2589 0.7012
0.2589 0.2589 0.2988
0.2589 0.7411 0.7012
0.7411 0.7411 0.2988
```

Summary:
Calculated density   2.57 g cm⁻³
N(E_F)   2.38 states/eV/cell
SG   P-42m (111)
E above lowest polymorph   0.030 eV per atom


no.,total magnetic moment (Bohr magnetons per cell)
1,1.0
2,0.0
3,0.0
4,6.7
5,8.6
6,0.0
7,0.0